Entry 1:
Below is an optimized crystal structure of TiAsH2I, with properties calculated at the PBE-GGA level.

The total magnetization is 1.11 Bohr magnetons per cell. The calculation puts the uncorrected energy at -3.74 eV per atom. The symmetry is P4/mmm. The value obtained for the volume is 123 Å³/cell.

a = 3.7481 Å, b = 8.7659 Å, c = 3.7481 Å
α = 90.00°, β = 90.00°, γ = 90.00°
Atoms (fractional coordinates):
Ti 0.5000 0.5000 0.5000
H 0.0000 0.0000 0.5000
H 0.5000 0.0000 0.0000
As 0.0000 0.5000 0.0000
I 0.0000 0.0000 0.0000

Entry 2:
Below is an optimized crystal structure of TbBePd3, with properties calculated at the PBE-GGA level.

The distance to the lowest polymorph of the same formula is 0.76 kcal/mol of atoms. The total magnetization is 0.00 Bohr magnetons per cell. Its formation energy is -3.4 eV/f.u. The symmetry is Pm-3m. The value obtained for the volume is 84 Å³/cell.

a = 4.3717 Å, b = 4.3717 Å, c = 4.3717 Å
α = 90.00°, β = 90.00°, γ = 90.00°
Atoms (fractional coordinates):
Be 0.0000 0.0000 0.0000
Pd 0.5000 0.0000 0.0000
Pd 0.0000 0.0000 0.5000
Pd 0.0000 0.5000 0.0000
Tb 0.5000 0.5000 0.5000

Number 1: density of states at the Fermi level 3.02 states/eV/f.u.. Number 2: density of states at the Fermi level 3.31 states/eV/f.u..